Record 1
The following is a DFT calculation (GGA-PBE) of a relaxed structure of Ca5AgPt4.

Summary:
Energy of formation from the pure elements   -18.1 kcal/mol of atoms

Cell: 3.5381 3.5381 17.7393 Å, 90.00 90.00 90.00°
Sites, in units of the cell vectors:
Pt 0.0000 0.0000 0.4034
Pt 0.0000 0.0000 0.2087
Pt 0.0000 0.0000 0.7913
Pt 0.0000 0.0000 0.5966
Ca 0.5000 0.5000 0.8830
Ca 0.5000 0.5000 0.5000
Ca 0.5000 0.5000 0.3086
Ca 0.5000 0.5000 0.6914
Ca 0.5000 0.5000 0.1170
Ag 0.0000 0.0000 0.0000

=====

Record 2
The following is a DFT calculation (GGA-PBE) of a relaxed structure of ScBiH2S.

Summary:
DFT total energy   -3.832 eV per atom

Cell: 3.9080 6.7066 3.9080 Å, 90.00 90.00 90.00°
Sites, in units of the cell vectors:
Bi 0.0000 0.5000 0.0000
H 0.0000 0.0000 0.5000
H 0.5000 0.0000 0.0000
S 0.0000 0.0000 0.0000
Sc 0.5000 0.5000 0.5000

=====

Record 3
The following is a DFT calculation (GGA-PBE) of a relaxed structure of Dy3Tl3Pb.

Summary:
Energy of formation from the pure elements   -5.8 kcal/mol of atoms

Cell: 5.3910 9.1524 9.1524 Å, 120.00 90.00 90.00°
Sites, in units of the cell vectors:
Pb 0.2500 0.6667 0.3333
Pb 0.7500 0.3333 0.6667
Dy 0.7500 0.4501 0.0982
Dy 0.7500 0.9018 0.3519
Dy 0.2500 0.3519 0.4501
Dy 0.7500 0.6481 0.5499
Dy 0.2500 0.5499 0.9018
Dy 0.2500 0.0982 0.6481
Tl 0.2500 0.8069 0.7591
Tl 0.7500 0.7591 0.9522
Tl 0.7500 0.0478 0.8069
Tl 0.2500 0.9522 0.1931
Tl 0.7500 0.1931 0.2409
Tl 0.2500 0.2409 0.0478

=====

Record 4
The following is a DFT calculation (GGA-PBE) of a relaxed structure of TaAs2WSe.

Summary:
Relative energy among the computed polymorphs   0.0 meV per atom

Cell: 4.8611 4.8611 4.8904 Å, 90.00 90.00 90.00°
Sites, in units of the cell vectors:
As 0.0000 0.5000 0.0000
As 0.5000 0.0000 0.0000
Se 0.0000 0.0000 0.5000
Ta 0.5000 0.5000 0.5000
W 0.0000 0.0000 0.0000

=====

Record 5
The following is a DFT calculation (GGA-PBE) of a relaxed structure of La2SnS5.

Summary:
Relative energy among the computed polymorphs   160.1 meV per atom

Cell: 5.3256 7.5765 13.2257 Å, 90.00 90.00 110.58°
Sites, in units of the cell vectors:
S 0.2895 0.5789 0.0973
S 0.9536 0.9072 0.8847
S 0.0464 0.0928 0.1153
S 0.2895 0.5789 0.4027
S 0.2786 0.5572 0.7500
S 0.7214 0.4428 0.2500
S 0.7105 0.4211 0.9027
S 0.7105 0.4211 0.5973
S 0.0464 0.0928 0.3847
S 0.9536 0.9072 0.6153
Sn 0.1699 0.3399 0.2500
Sn 0.8301 0.6601 0.7500
La 0.8535 0.7071 0.0700
La 0.1465 0.2929 0.5700
La 0.8535 0.7071 0.4300
La 0.1465 0.2929 0.9300

=====

Record 6
The following is a DFT calculation (GGA-PBE) of a relaxed structure of Er2Ni4AsP3.

Summary:
Energy of formation from the pure elements   -21.0 kcal/mol of atoms

Cell: 3.9853 3.9853 9.2190 Å, 90.00 90.00 90.00°
Sites, in units of the cell vectors:
Er 0.0000 0.5000 0.7557
Er 0.5000 0.0000 0.2443
P 0.0000 0.0000 0.5000
P 0.0000 0.5000 0.1288
P 0.5000 0.0000 0.8712
Ni 0.0000 0.5000 0.3708
Ni 0.0000 0.0000 0.0000
Ni 0.5000 0.0000 0.6292
Ni 0.5000 0.5000 0.0000
As 0.5000 0.5000 0.5000

=====

Record 7
The following is a DFT calculation (GGA-PBE) of a relaxed structure of TbDy2Ag6.

Summary:
Energy of formation from the pure elements   -5.7 kcal/mol of atoms

Cell: 5.3065 9.3094 9.3094 Å, 120.44 90.07 90.07°
Sites, in units of the cell vectors:
Ag 0.0029 0.5013 0.3341
Ag 0.9971 0.4987 0.6659
Ag 0.5029 0.3341 0.5013
Ag 0.2494 0.9117 0.4118
Ag 0.7494 0.4118 0.9117
Ag 0.2506 0.5882 0.0883
Ag 0.7506 0.0883 0.5882
Ag 0.4971 0.6659 0.4987
Ag 0.5025 0.0011 0.8343
Ag 0.9975 0.1657 0.9989
Ag 0.4975 0.9989 0.1657
Ag 0.0025 0.8343 0.0011
Dy 0.4997 0.6651 0.8348
Dy 0.9997 0.8348 0.6651
Dy 0.5003 0.3349 0.1652
Dy 0.0003 0.1652 0.3349
Tb 0.2500 0.2499 0.7501
Tb 0.7500 0.7501 0.2499

=====

Record 8
The following is a DFT calculation (GGA-PBE) of a relaxed structure of RbMg2RuO.

Summary:
DFT total energy   -2.245 eV per atom

Cell: 5.6453 4.2281 5.6453 Å, 90.00 90.00 90.00°
Sites, in units of the cell vectors:
Ru 0.5000 0.5000 0.5000
Mg 0.0000 0.0000 0.5000
Mg 0.5000 0.0000 0.0000
O 0.0000 0.5000 0.0000
Rb 0.0000 0.0000 0.0000